Tb2TmPb | PBE | relaxed

Results
E_form (eV/atom): -0.2749
E above lowest polymorph (meV per atom): 0
Total moment (μB/f.u.): 0.00
Total DFT energy (no corrections) (eV/f.u.): -18.5

a = 4.8348 Å, b = 4.8348 Å, c = 4.8714 Å
α = 90.00°, β = 90.00°, γ = 90.00°
With the nearest neighbours (Å) after each atom.
Atoms (fractional coordinates):
Tb 0.0000 0.5000 0.0000  4 Tb 3.42, 4 Pb 3.43, 4 Tm 3.43
Tb 0.5000 0.0000 0.0000  4 Tb 3.42, 4 Pb 3.43, 4 Tm 3.43
Tm 0.0000 0.0000 0.5000  4 Pb 3.42, 8 Tb 3.43
Pb 0.5000 0.5000 0.5000  4 Tm 3.42, 8 Tb 3.43

***

Tb4Tm2Pb | PBE | relaxed

Results
E_form (eV/atom): -0.0571
Total moment (μB/f.u.): 0.00
Total DFT energy (no corrections) (eV/f.u.): -31.6

a = 5.5663 Å, b = 6.8122 Å, c = 11.7278 Å
α = 90.00°, β = 103.46°, γ = 90.00°
With the nearest neighbours (Å) after each atom.
Atoms (fractional coordinates):
Tb 0.0781 0.2500 0.1381  3 Pb 3.25-3.41, 3 Tm 3.33-3.38
Tb 0.2170 0.7500 0.4184  1 Pb 3.10, 4 Tm 3.24-3.41
Tb 0.3506 0.5108 0.7108  5 Tb 3.26-3.64, 3 Tm 3.53-3.62, 1 Pb 3.61
Tb 0.3506 0.9892 0.7108  5 Tb 3.26-3.64, 3 Tm 3.53-3.62, 1 Pb 3.61
Tb 0.6494 0.0108 0.2892  5 Tb 3.26-3.64, 3 Tm 3.53-3.62, 1 Pb 3.61
Tb 0.6494 0.4892 0.2892  5 Tb 3.26-3.64, 3 Tm 3.53-3.62, 1 Pb 3.61
Tb 0.7830 0.2500 0.5816  1 Pb 3.10, 4 Tm 3.24-3.41
Tb 0.9219 0.7500 0.8619  3 Pb 3.25-3.41, 3 Tm 3.33-3.38
Tm 0.2120 0.2500 0.4345  9 Tb 3.24-3.62
Tm 0.4997 0.2500 0.9780  2 Pb 3.12-3.13, 2 Tb 3.33, 2 Tm 3.45
Tm 0.5003 0.7500 0.0220  2 Pb 3.12-3.13, 2 Tb 3.33, 2 Tm 3.45
Tm 0.7880 0.7500 0.5655  9 Tb 3.24-3.62
Pb 0.0631 0.7500 0.1472  4 Tb 3.10-3.41, 2 Tm 3.12-3.13
Pb 0.9369 0.2500 0.8528  4 Tb 3.10-3.41, 2 Tm 3.12-3.13

***

TbTmPb2 | PBE | relaxed

Results
E_form (eV/atom): -0.4189
Total moment (μB/f.u.): 0.00
Total DFT energy (no corrections) (eV/f.u.): -18.2

a = 3.7456 Å, b = 3.7456 Å, c = 8.6141 Å
α = 99.22°, β = 99.22°, γ = 78.42°
With the nearest neighbours (Å) after each atom.
Atoms (fractional coordinates):
Tb 0.0000 0.0000 0.0000  6 Pb 3.21-3.28
Tm 0.0000 0.0000 0.5000  6 Pb 3.19
Pb 0.4921 0.4921 0.7468  3 Tm 3.19, 3 Tb 3.21-3.28
Pb 0.5079 0.5079 0.2532  3 Tm 3.19, 3 Tb 3.21-3.28

***

TbTmPb6 | PBE | relaxed

Results
E_form (eV/atom): -0.2561
Total moment (μB/f.u.): 0.00
Total DFT energy (no corrections) (eV/f.u.): -33.4

a = 4.8719 Å, b = 4.8719 Å, c = 9.7526 Å
α = 90.00°, β = 90.00°, γ = 90.00°
With the nearest neighbours (Å) after each atom.
Atoms (fractional coordinates):
Tb 0.0000 0.0000 0.0000  12 Pb 3.44-3.46
Tm 0.0000 0.0000 0.5000  12 Pb 3.43-3.44
Pb 0.0000 0.5000 0.2519  8 Pb 3.43-3.46, 2 Tm 3.43, 2 Tb 3.46
Pb 0.0000 0.5000 0.7481  8 Pb 3.43-3.46, 2 Tm 3.43, 2 Tb 3.46
Pb 0.5000 0.0000 0.2519  8 Pb 3.43-3.46, 2 Tm 3.43, 2 Tb 3.46
Pb 0.5000 0.0000 0.7481  8 Pb 3.43-3.46, 2 Tm 3.43, 2 Tb 3.46
Pb 0.5000 0.5000 0.0000  4 Tb 3.44, 8 Pb 3.46
Pb 0.5000 0.5000 0.5000  8 Pb 3.43, 4 Tm 3.44

***

TbTmPb2 | PBE | relaxed

Results
E_form (eV/atom): -0.4108
Total moment (μB/f.u.): 0.00
Total DFT energy (no corrections) (eV/f.u.): -18.2

a = 3.5392 Å, b = 3.5392 Å, c = 8.9035 Å
α = 90.00°, β = 90.00°, γ = 90.00°
With the nearest neighbours (Å) after each atom.
Atoms (fractional coordinates):
Tb 0.0000 0.0000 0.0000  8 Pb 3.37, 4 Tb 3.54
Tm 0.0000 0.0000 0.5000  8 Pb 3.33, 4 Tm 3.54
Pb 0.5000 0.5000 0.2539  4 Tm 3.33, 4 Tb 3.37, 4 Pb 3.54
Pb 0.5000 0.5000 0.7461  4 Tm 3.33, 4 Tb 3.37, 4 Pb 3.54

***

Tb5TmPb6 | PBE | relaxed

Results
E_form (eV/atom): -0.4457
Total moment (μB/f.u.): 0.00
Total DFT energy (no corrections) (eV/f.u.): -55.2

a = 7.7438 Å, b = 7.7438 Å, c = 8.6074 Å
α = 94.55°, β = 94.55°, γ = 135.70°
With the nearest neighbours (Å) after each atom.
Atoms (fractional coordinates):
Tb 0.0000 0.0000 0.0000  6 Pb 3.22-3.28
Tb 0.3313 0.6687 0.0000  6 Pb 3.22-3.25
Tb 0.3356 0.6644 0.5000  6 Pb 3.21-3.24
Tb 0.6644 0.3356 0.5000  6 Pb 3.21-3.24
Tb 0.6687 0.3313 0.0000  6 Pb 3.22-3.25
Tm 0.0000 0.0000 0.5000  6 Pb 3.19-3.21
Pb 0.1645 0.8331 0.2528  1 Tm 3.19, 5 Tb 3.22-3.25
Pb 0.1669 0.8355 0.7472  1 Tm 3.19, 5 Tb 3.22-3.25
Pb 0.4902 0.4902 0.7522  1 Tm 3.21, 5 Tb 3.21-3.28
Pb 0.5098 0.5098 0.2478  1 Tm 3.21, 5 Tb 3.21-3.28
Pb 0.8331 0.1645 0.2528  1 Tm 3.19, 5 Tb 3.22-3.25
Pb 0.8355 0.1669 0.7472  1 Tm 3.19, 5 Tb 3.22-3.25